First-principles (PBE+U) data for an optimized crystal structure of NiGeSeO5, as listed in Alexandria via LeMat-Bulk.

The space group is C2/c (No. 15) and the conventional cell measures 6.9369, 8.6214 and 6.9623 Å, with angles of 90.00, 113.03 and 90.00 degrees. Symmetry generates all atoms from Ni at (0.0000, 0.0206, 0.2500), Ge at (0.2500, 0.2500, 0.0000), Se at (0.0000, 0.4718, 0.2500), O at (0.0000, 0.2062, 0.7500), O at (0.0369, 0.3319, 0.0892) and O at (0.1925, 0.0441, 0.0745).

As for the volume: 95.8 Å³/f.u. The calculation puts the total moment at 2.00 μB/f.u. The total energy is -171.002 eV per cell.



First-principles (PBE+U) data for an optimized crystal structure of SmNi2GeO6, as listed in Alexandria via LeMat-Bulk.

The space group is P1 (No. 1) and the conventional cell measures 5.1237, 5.2018 and 5.5654 Å, with angles of 62.18, 64.14 and 61.72 degrees. Symmetry generates all atoms from Sm at (0.0000, 0.0000, 0.0000), Ni at (0.2151, 0.2070, 0.3612), Ni at (0.7237, 0.7229, 0.8181), Ge at (0.5230, 0.5266, 0.4266), O at (0.1396, 0.8040, 0.6035), O at (0.3617, 0.5468, 0.1553), O at (0.4366, 0.1403, 0.6113), O at (0.5564, 0.9155, 0.1410), O at (0.7877, 0.4430, 0.6225) and O at (0.9192, 0.3659, 0.1554).

As for the volume: 111.0 Å³/f.u. The calculation puts the total moment at 3.00 μB/f.u. The total energy is -61.360 eV per cell.



First-principles (PBE+U) data for an optimized crystal structure of SrNiGeO4, as listed in Alexandria via LeMat-Bulk.

The space group is P2_1/m (No. 11) and the conventional cell measures 5.4364, 5.7062 and 6.5947 Å, with angles of 90.00, 105.58 and 90.00 degrees. Symmetry generates all atoms from Sr at (0.2401, 0.2500, 0.4530), Ni at (0.3756, 0.2500, 0.0049), Ge at (0.2168, 0.7500, 0.1712), O at (0.0273, 0.2500, 0.0627), O at (0.1222, 0.7500, 0.4040) and O at (0.4645, 0.5248, 0.2014).

As for the volume: 98.5 Å³/f.u. The calculation puts the total moment at 1.99 μB/f.u. The total energy is -82.914 eV per cell.



First-principles (PBE+U) data for an optimized crystal structure of TaNi2GeO, as listed in Alexandria via LeMat-Bulk.

The space group is P4/mmm (No. 123) and the conventional cell measures 4.3599, 4.3599 and 3.7215 Å, with angles of 90.00, 90.00 and 90.00 degrees. Symmetry generates all atoms from Ta at (0.0000, 0.0000, 0.0000), Ni at (0.0000, 0.5000, 0.5000), Ge at (0.5000, 0.5000, 0.5000) and O at (0.5000, 0.5000, 0.0000).

As for the volume: 70.7 Å³/f.u. The calculation puts the total moment at 0.00 μB/f.u. The total energy is -21.624 eV per cell.



First-principles (PBE+U) data for an optimized crystal structure of TaNiGeO6, as listed in Alexandria via LeMat-Bulk.

The space group is P4_2nm (No. 102) and the conventional cell measures 4.6477, 4.6477 and 9.0175 Å, with angles of 90.00, 90.00 and 90.00 degrees. Symmetry generates all atoms from Ta at (0.0000, 0.0000, 0.0000), Ni at (0.0000, 0.0000, 0.6709), Ge at (0.0000, 0.0000, 0.3390), O at (0.1876, 0.1876, 0.1766), O at (0.1933, 0.1933, 0.4955) and O at (0.2088, 0.2088, 0.8451).

As for the volume: 97.4 Å³/f.u. The calculation puts the total moment at 1.09 μB/f.u. The total energy is -129.862 eV per cell.



First-principles (PBE+U) data for an optimized crystal structure of TcNi2GeO6, as listed in Alexandria via LeMat-Bulk.

The space group is P4mm (No. 99) and the conventional cell measures 5.2808, 5.2808 and 4.7391 Å, with angles of 90.00, 90.00 and 90.00 degrees. Symmetry generates all atoms from Tc at (0.0000, 0.0000, 0.0000), Ni at (0.0000, 0.5000, 0.3287), Ge at (0.5000, 0.5000, 0.0051), O at (0.0000, 0.0000, 0.6378), O at (0.2528, 0.2528, 0.1621) and O at (0.5000, 0.5000, 0.6422).

As for the volume: 132.2 Å³/f.u. The calculation puts the total moment at 4.01 μB/f.u. The total energy is -58.687 eV per cell.



First-principles (PBE+U) data for an optimized crystal structure of Ni2GeTeO6, as listed in Alexandria via LeMat-Bulk.

The space group is P4mm (No. 99) and the conventional cell measures 5.3332, 5.3332 and 5.2330 Å, with angles of 90.00, 90.00 and 90.00 degrees. Symmetry generates all atoms from Ni at (0.0000, 0.5000, 0.0000), Ge at (0.0000, 0.0000, 0.7684), Te at (0.5000, 0.5000, 0.6886), O at (0.0000, 0.0000, 0.4489), O at (0.2360, 0.2360, 0.9205) and O at (0.5000, 0.5000, 0.3405).

As for the volume: 148.8 Å³/f.u. The calculation puts the total moment at 0.00 μB/f.u. The total energy is -49.194 eV per cell.



First-principles (PBE+U) data for an optimized crystal structure of ThNi2GeO6, as listed in Alexandria via LeMat-Bulk.

The space group is P4mm (No. 99) and the conventional cell measures 5.4862, 5.4862 and 4.9390 Å, with angles of 90.00, 90.00 and 90.00 degrees. Symmetry generates all atoms from Th at (0.0000, 0.0000, 0.0000), Ni at (0.0000, 0.5000, 0.3536), Ge at (0.5000, 0.5000, 0.0735), O at (0.0000, 0.0000, 0.5872), O at (0.2707, 0.2707, 0.2084) and O at (0.5000, 0.5000, 0.7249).

As for the volume: 148.7 Å³/f.u. The calculation puts the total moment at 4.11 μB/f.u. The total energy is -62.610 eV per cell.



First-principles (PBE+U) data for an optimized crystal structure of TiNi2GeO, as listed in Alexandria via LeMat-Bulk.

The space group is P4/mmm (No. 123) and the conventional cell measures 3.7906, 3.7906 and 4.6860 Å, with angles of 90.00, 90.00 and 90.00 degrees. Symmetry generates all atoms from Ti at (0.0000, 0.0000, 0.0000), Ni at (0.0000, 0.5000, 0.5000), Ge at (0.5000, 0.5000, 0.0000) and O at (0.5000, 0.5000, 0.5000).

As for the volume: 67.3 Å³/f.u. The calculation puts the total moment at 0.39 μB/f.u. As for the energy above the lowest structure with this stoichiometry: 0.0 kJ/mol of atoms. The total energy is -22.657 eV per cell.



First-principles (PBE+U) data for an optimized crystal structure of TiNi4GeO8, as listed in Alexandria via LeMat-Bulk.

The space group is F-43m (No. 216) and the conventional cell measures 8.3636, 8.3636 and 8.3636 Å, with angles of 90.00, 90.00 and 90.00 degrees. Symmetry generates all atoms from Ti at (0.0000, 0.0000, 0.0000), Ni at (0.1256, 0.1256, 0.6256), Ge at (0.2500, 0.2500, 0.2500), O at (0.1252, 0.1252, 0.3748) and O at (0.1273, 0.1273, 0.8727).

As for the volume: 146.3 Å³/f.u. The calculation puts the total moment at 8.00 μB/f.u. The total energy is -343.249 eV per cell.



First-principles (PBE+U) data for an optimized crystal structure of TiNi2GeO, as listed in Alexandria via LeMat-Bulk.

The space group is P4/mmm (No. 123) and the conventional cell measures 4.5801, 4.5801 and 3.6383 Å, with angles of 90.00, 90.00 and 90.00 degrees. Symmetry generates all atoms from Ti at (0.0000, 0.0000, 0.0000), Ni at (0.0000, 0.5000, 0.0000), Ge at (0.5000, 0.5000, 0.5000) and O at (0.0000, 0.0000, 0.5000).

As for the volume: 76.3 Å³/f.u. The calculation puts the total moment at 0.00 μB/f.u. As for the energy above the lowest structure with this stoichiometry: 39.3 kJ/mol of atoms. The total energy is -20.620 eV per cell.



First-principles (PBE+U) data for an optimized crystal structure of TlNiGeO4, as listed in Alexandria via LeMat-Bulk.

The space group is Imma (No. 74) and the conventional cell measures 6.1203, 6.6058 and 8.8141 Å, with angles of 90.00, 90.00 and 90.00 degrees. Symmetry generates all atoms from Tl at (0.2500, 0.2500, 0.2500), Ni at (0.0000, 0.0000, 0.0000), Ge at (0.0000, 0.2500, 0.6387), O at (0.0000, 0.0306, 0.7607) and O at (0.2478, 0.2500, 0.5212).

As for the volume: 89.1 Å³/f.u. The calculation puts the total moment at 2.01 μB/f.u. The total energy is -145.445 eV per cell.



First-principles (PBE+U) data for an optimized crystal structure of TmNi2GeO6, as listed in Alexandria via LeMat-Bulk.

The space group is P1 (No. 1) and the conventional cell measures 5.0655, 5.1309 and 5.5264 Å, with angles of 62.40, 64.24 and 61.58 degrees. Symmetry generates all atoms from Tm at (0.0000, 0.0000, 0.0000), Ni at (0.2081, 0.1991, 0.3864), Ni at (0.7158, 0.7115, 0.8507), Ge at (0.5165, 0.5168, 0.4554), O at (0.1368, 0.7948, 0.6399), O at (0.3316, 0.5606, 0.1868), O at (0.4215, 0.1345, 0.6446), O at (0.5756, 0.8998, 0.1750), O at (0.7799, 0.4220, 0.6594) and O at (0.9102, 0.3307, 0.1869).

As for the volume: 107.6 Å³/f.u. The calculation puts the total moment at 3.00 μB/f.u. The total energy is -61.786 eV per cell.



First-principles (PBE+U) data for an optimized crystal structure of UNiGeO6, as listed in Alexandria via LeMat-Bulk.

The space group is P-31c (No. 163) and the conventional cell measures 5.2373, 5.2373 and 8.9284 Å, with angles of 90.00, 90.00 and 120.00 degrees. Symmetry generates all atoms from U at (0.3333, 0.6667, 0.2500), Ni at (0.0000, 0.0000, 0.0000), Ge at (0.3333, 0.6667, 0.7500) and O at (0.0246, 0.3562, 0.6321).

As for the volume: 106.0 Å³/f.u. The calculation puts the total moment at 1.98 μB/f.u. The total energy is -132.474 eV per cell.



First-principles (PBE+U) data for an optimized crystal structure of NiGe2WO8, as listed in Alexandria via LeMat-Bulk.

The space group is I-4m2 (No. 119) and the conventional cell measures 6.5227, 6.5227 and 6.2740 Å, with angles of 90.00, 90.00 and 90.00 degrees. Symmetry generates all atoms from Ni at (0.0000, 0.0000, 0.0000), Ge at (0.0000, 0.0000, 0.5000), Ge at (0.0000, 0.5000, 0.2500), W at (0.0000, 0.5000, 0.7500), O at (0.0000, 0.2019, 0.6837) and O at (0.0000, 0.3151, 0.0409).

As for the volume: 133.5 Å³/f.u. The calculation puts the total moment at 2.00 μB/f.u. The total energy is -152.555 eV per cell.